Entry 1:
{
  "formula": "Eu2GdCd",
  "functional": "PBE",
  "state": "optimized geometry",
  "lattice_angstrom": [[8.043, 0.000, 0.000], [0.000, 8.043, 0.000], [0.000, 0.000, 8.043]],
  "species": ["Eu", "Eu", "Eu", "Eu", "Eu", "Eu", "Eu", "Eu", "Gd", "Gd", "Gd", "Gd", "Cd", "Cd", "Cd", "Cd"],
  "frac_coords": [[0.250, 0.250, 0.250], [0.250, 0.250, 0.750], [0.250, 0.750, 0.250], [0.250, 0.750, 0.750], [0.750, 0.250, 0.250], [0.750, 0.250, 0.750], [0.750, 0.750, 0.250], [0.750, 0.750, 0.750], [0.000, 0.000, 0.000], [0.000, 0.500, 0.500], [0.500, 0.000, 0.500], [0.500, 0.500, 0.000], [0.000, 0.000, 0.500], [0.000, 0.500, 0.000], [0.500, 0.000, 0.000], [0.500, 0.500, 0.500]],
  "magmom_total_mub_per_atom": 5.5304,
  "total_energy_ev_per_fu": -35.5,
  "mass_density_g_cm3": 7.3,
  "sg": "Fm-3m"
}

***

Entry 2:
{
  "formula": "Ti3Tc",
  "functional": "PBE",
  "state": "optimized geometry",
  "lattice_angstrom": [[4.468, 0.000, 0.000], [0.000, 4.468, 0.000], [0.000, 0.000, 3.171]],
  "species": ["Ti", "Ti", "Ti", "Tc"],
  "frac_coords": [[0.000, 0.000, 0.000], [0.000, 0.500, 0.500], [0.500, 0.000, 0.500], [0.500, 0.500, 0.000]],
  "magmom_total_mub_per_atom": 0.0008,
  "total_energy_ev_per_fu": -34.8,
  "mass_density_g_cm3": 6.3,
  "sg": "P4/mmm"
}

***

Entry 3:
{
  "formula": "Pm2Mg2Si4Pd",
  "functional": "PBE",
  "state": "optimized geometry",
  "lattice_angstrom": [[-3.116, 3.116, 4.475], [3.116, -3.116, 4.475], [3.116, 3.116, -4.475]],
  "species": ["Pm", "Pm", "Mg", "Mg", "Si", "Si", "Si", "Si", "Pd"],
  "frac_coords": [[0.250, 0.750, 0.500], [0.750, 0.250, 0.500], [0.217, 0.217, 0.000], [0.783, 0.783, 0.000], [0.211, 0.211, 0.423], [0.211, 0.789, 0.000], [0.789, 0.211, 0.000], [0.789, 0.789, 0.577], [0.500, 0.500, 0.000]],
  "e_form_raw_ev_per_atom": -0.43,
  "magmom_total_mub_per_atom": 0.0000,
  "total_energy_ev_per_fu": -43.5,
  "mass_density_g_cm3": 5.3,
  "sg": "I4/mmm"
}

***

Entry 4:
{
  "formula": "La2GdSb",
  "functional": "PBE",
  "state": "optimized geometry",
  "lattice_angstrom": [[4.111, 0.000, 0.000], [-2.055, 3.560, 0.000], [0.000, 0.000, 32.504]],
  "species": ["La", "La", "La", "La", "La", "La", "Gd", "Gd", "Gd", "Sb", "Sb", "Sb"],
  "frac_coords": [[0.000, 0.000, 0.104], [0.000, 0.000, 0.896], [0.333, 0.667, 0.563], [0.333, 0.667, 0.771], [0.667, 0.333, 0.229], [0.667, 0.333, 0.437], [0.000, 0.000, 0.000], [0.333, 0.667, 0.667], [0.667, 0.333, 0.333], [0.000, 0.000, 0.500], [0.333, 0.667, 0.167], [0.667, 0.333, 0.833]],
  "e_form_raw_ev_per_atom": -0.17,
  "magmom_total_mub_per_atom": 2.0754,
  "total_energy_ev_per_fu": -28.7,
  "mass_density_g_cm3": 5.8,
  "sg": "R-3m"
}

***

Entry 5:
{
  "formula": "HoZr4Co5",
  "functional": "PBE",
  "state": "optimized geometry",
  "lattice_angstrom": [[3.200, 0.000, 0.000], [0.000, 3.200, 0.000], [0.000, 0.000, 16.202]],
  "species": ["Ho", "Zr", "Zr", "Zr", "Zr", "Co", "Co", "Co", "Co", "Co"],
  "frac_coords": [[0.000, 0.000, 0.000], [0.000, 0.000, 0.206], [0.000, 0.000, 0.403], [0.000, 0.000, 0.597], [0.000, 0.000, 0.794], [0.500, 0.500, 0.117], [0.500, 0.500, 0.306], [0.500, 0.500, 0.500], [0.500, 0.500, 0.694], [0.500, 0.500, 0.883]],
  "magmom_total_mub_per_atom": 0.0539,
  "total_energy_ev_per_fu": -77.0,
  "mass_density_g_cm3": 8.3,
  "sg": "P4/mmm"
}

***

Entry 6:
{
  "formula": "Cu3As",
  "functional": "PBE",
  "state": "optimized geometry",
  "lattice_angstrom": [[4.762, 0.000, 0.000], [0.000, 4.762, 0.000], [0.000, 0.000, 4.762]],
  "species": ["Cu", "Cu", "Cu", "Cu", "Cu", "Cu", "As", "As"],
  "frac_coords": [[0.000, 0.250, 0.500], [0.000, 0.750, 0.500], [0.250, 0.500, 0.000], [0.500, 0.000, 0.250], [0.500, 0.000, 0.750], [0.750, 0.500, 0.000], [0.000, 0.000, 0.000], [0.500, 0.500, 0.500]],
  "magmom_total_mub_per_atom": 0.0000,
  "total_energy_ev_per_fu": -16.5,
  "mass_density_g_cm3": 8.2,
  "sg": "Pm-3n"
}

***

Entry 7:
{
  "formula": "PmPr4Th",
  "functional": "PBE",
  "state": "optimized geometry",
  "lattice_angstrom": [[11.768, 0.000, 0.000], [0.000, 3.503, 0.000], [-5.565, 0.000, 10.376]],
  "species": ["Pm", "Pm", "Pr", "Pr", "Pr", "Pr", "Pr", "Pr", "Pr", "Pr", "Th", "Th"],
  "frac_coords": [[0.000, 0.000, 0.000], [0.500, 0.500, 0.000], [0.154, 0.000, 0.344], [0.161, 0.500, 0.841], [0.339, 0.000, 0.159], [0.346, 0.500, 0.656], [0.654, 0.500, 0.344], [0.661, 0.000, 0.841], [0.839, 0.500, 0.159], [0.846, 0.000, 0.656], [0.000, 0.500, 0.500], [0.500, 0.000, 0.500]],
  "magmom_total_mub_per_atom": 0.0000,
  "total_energy_ev_per_fu": -30.1,
  "mass_density_g_cm3": 7.3,
  "sg": "C2/m"
}

***

Entry 8:
{
  "formula": "CuAg5F8",
  "functional": "PBE",
  "state": "optimized geometry",
  "lattice_angstrom": [[0.000, 4.860, 4.860], [4.860, 0.000, 4.860], [4.860, 4.860, 0.000]],
  "species": ["Cu", "Ag", "Ag", "Ag", "Ag", "Ag", "F", "F", "F", "F", "F", "F", "F", "F"],
  "frac_coords": [[0.000, 0.000, 0.000], [0.370, 0.370, 0.370], [0.370, 0.370, 0.891], [0.370, 0.891, 0.370], [0.750, 0.750, 0.750], [0.891, 0.370, 0.370], [0.116, 0.116, 0.116], [0.116, 0.116, 0.653], [0.116, 0.653, 0.116], [0.154, 0.615, 0.615], [0.615, 0.154, 0.615], [0.615, 0.615, 0.154], [0.615, 0.615, 0.615], [0.653, 0.116, 0.116]],
  "e_form_raw_ev_per_atom": -1.08,
  "magmom_total_mub_per_atom": 0.1585,
  "total_energy_ev_per_fu": -48.4,
  "mass_density_g_cm3": 5.5,
  "sg": "F-43m"
}

***

Entry 9:
{
  "formula": "Ti4Zn3Cu",
  "functional": "PBE",
  "state": "optimized geometry",
  "lattice_angstrom": [[8.813, 0.000, 0.000], [0.000, 6.328, 0.000], [0.000, 0.000, 4.407]],
  "species": ["Ti", "Ti", "Ti", "Ti", "Ti", "Ti", "Ti", "Ti", "Zn", "Zn", "Zn", "Zn", "Zn", "Zn", "Cu", "Cu"],
  "frac_coords": [[0.000, 0.246, 0.000], [0.000, 0.754, 0.000], [0.250, 0.246, 0.498], [0.250, 0.754, 0.498], [0.500, 0.246, 0.000], [0.500, 0.754, 0.000], [0.750, 0.246, 0.502], [0.750, 0.754, 0.502], [0.000, 0.500, 0.500], [0.250, 0.000, 0.998], [0.250, 0.500, 0.998], [0.500, 0.500, 0.500], [0.750, 0.000, 0.002], [0.750, 0.500, 0.002], [0.000, 0.000, 0.500], [0.500, 0.000, 0.500]],
  "magmom_total_mub_per_atom": 0.0001,
  "total_energy_ev_per_fu": -40.6,
  "mass_density_g_cm3": 6.1,
  "sg": "Pmma"
}

***

Entry 10:
{
  "formula": "HfAl2Au4",
  "functional": "PBE",
  "state": "optimized geometry",
  "lattice_angstrom": [[2.199, 1.270, 7.759], [-2.199, 1.270, 7.759], [0.000, -2.539, 7.759]],
  "species": ["Hf", "Al", "Al", "Au", "Au", "Au", "Au"],
  "frac_coords": [[0.000, 0.000, 0.000], [0.246, 0.246, 0.246], [0.754, 0.754, 0.754], [0.132, 0.132, 0.132], [0.392, 0.392, 0.392], [0.608, 0.608, 0.608], [0.868, 0.868, 0.868]],
  "magmom_total_mub_per_atom": 0.0000,
  "total_energy_ev_per_fu": -33.4,
  "mass_density_g_cm3": 13.0,
  "sg": "R-3m"
}

***

Entry 11:
{
  "formula": "Sm3Ga3Ru2",
  "functional": "PBE",
  "state": "optimized geometry",
  "lattice_angstrom": [[2.250, -5.160, 0.000], [2.250, 5.160, 0.000], [0.000, 0.000, 14.702]],
  "species": ["Sm", "Sm", "Sm", "Sm", "Sm", "Sm", "Ga", "Ga", "Ga", "Ga", "Ga", "Ga", "Ru", "Ru", "Ru", "Ru"],
  "frac_coords": [[0.093, 0.907, 0.608], [0.093, 0.907, 0.892], [0.394, 0.606, 0.750], [0.606, 0.394, 0.250], [0.907, 0.093, 0.108], [0.907, 0.093, 0.392], [0.300, 0.700, 0.250], [0.385, 0.615, 0.544], [0.385, 0.615, 0.956], [0.615, 0.385, 0.044], [0.615, 0.385, 0.456], [0.700, 0.300, 0.750], [0.214, 0.786, 0.084], [0.214, 0.786, 0.416], [0.786, 0.214, 0.584], [0.786, 0.214, 0.916]],
  "magmom_total_mub_per_atom": 0.0000,
  "total_energy_ev_per_fu": -46.2,
  "mass_density_g_cm3": 8.4,
  "sg": "Cmcm"
}

***

Entry 12:
{
  "formula": "TiCo",
  "functional": "PBE",
  "state": "optimized geometry",
  "lattice_angstrom": [[7.005, 0.000, 0.000], [0.000, 7.005, 0.000], [0.000, 0.000, 7.005]],
  "species": ["Ti", "Ti", "Ti", "Ti", "Ti", "Ti", "Ti", "Ti", "Co", "Co", "Co", "Co", "Co", "Co", "Co", "Co"],
  "frac_coords": [[0.201, 0.201, 0.201], [0.201, 0.799, 0.799], [0.299, 0.299, 0.701], [0.299, 0.701, 0.299], [0.701, 0.299, 0.299], [0.701, 0.701, 0.701], [0.799, 0.201, 0.799], [0.799, 0.799, 0.201], [0.124, 0.124, 0.876], [0.124, 0.876, 0.124], [0.376, 0.376, 0.376], [0.376, 0.624, 0.624], [0.624, 0.376, 0.624], [0.624, 0.624, 0.376], [0.876, 0.124, 0.124], [0.876, 0.876, 0.876]],
  "magmom_total_mub_per_atom": 0.0000,
  "total_energy_ev_per_fu": -13.3,
  "mass_density_g_cm3": 4.1,
  "sg": "I-43m"
}

***

Entry 13:
{
  "formula": "NiIr2Rh",
  "functional": "PBE",
  "state": "optimized geometry",
  "lattice_angstrom": [[2.723, 0.000, 0.000], [0.000, 2.723, 0.000], [0.000, 0.000, 7.351]],
  "species": ["Ni", "Ir", "Ir", "Rh"],
  "frac_coords": [[0.000, 0.000, 0.000], [0.000, 0.000, 0.503], [0.500, 0.500, 0.761], [0.500, 0.500, 0.242]],
  "magmom_total_mub_per_atom": 0.0007,
  "total_energy_ev_per_fu": -30.8,
  "mass_density_g_cm3": 16.6,
  "sg": "P4mm"
}

***

Entry 14:
{
  "formula": "RbYCuSe2",
  "functional": "PBE",
  "state": "optimized geometry",
  "lattice_angstrom": [[8.089, 0.000, 0.000], [0.000, 4.654, 0.000], [-1.199, 0.000, 8.107]],
  "species": ["Rb", "Rb", "Y", "Y", "Cu", "Cu", "Se", "Se", "Se", "Se"],
  "frac_coords": [[0.000, 0.158, 0.250], [0.000, 0.842, 0.750], [0.500, 0.494, 0.750], [0.500, 0.506, 0.250], [0.500, 0.000, 0.000], [0.500, 0.000, 0.500], [0.274, 0.331, 0.969], [0.274, 0.669, 0.469], [0.726, 0.331, 0.531], [0.726, 0.669, 0.031]],
  "e_form_raw_ev_per_atom": -1.02,
  "magmom_total_mub_per_atom": 0.0000,
  "total_energy_ev_per_fu": -23.6,
  "mass_density_g_cm3": 4.3,
  "sg": "P2/c"
}

***

Entry 15:
{
  "formula": "SmTh2C",
  "functional": "PBE",
  "state": "optimized geometry",
  "lattice_angstrom": [[3.663, 0.000, 0.000], [-1.831, 3.172, 0.000], [0.000, 0.000, 27.882]],
  "species": ["Sm", "Sm", "Sm", "Th", "Th", "Th", "Th", "Th", "Th", "C", "C", "C"],
  "frac_coords": [[0.000, 0.000, 0.000], [0.333, 0.667, 0.667], [0.667, 0.333, 0.333], [0.000, 0.000, 0.550], [0.000, 0.000, 0.777], [0.333, 0.667, 0.217], [0.333, 0.667, 0.444], [0.667, 0.333, 0.111], [0.667, 0.333, 0.883], [0.000, 0.000, 0.166], [0.333, 0.667, 0.833], [0.667, 0.333, 0.499]],
  "magmom_total_mub_per_atom": 0.0001,
  "total_energy_ev_per_fu": -29.3,
  "mass_density_g_cm3": 9.6,
  "sg": "R3m"
}

***

Entry 16:
{
  "formula": "BaScCo",
  "functional": "PBE",
  "state": "optimized geometry",
  "lattice_angstrom": [[3.845, 0.000, 0.000], [0.000, 3.922, 0.000], [-1.812, 0.000, 11.530]],
  "species": ["Ba", "Ba", "Sc", "Sc", "Co", "Co"],
  "frac_coords": [[0.160, 0.250, 0.342], [0.840, 0.750, 0.658], [0.446, 0.250, 0.893], [0.554, 0.750, 0.107], [0.042, 0.250, 0.052], [0.958, 0.750, 0.948]],
  "magmom_total_mub_per_atom": 0.0001,
  "total_energy_ev_per_fu": -15.4,
  "mass_density_g_cm3": 4.6,
  "sg": "P2_1/m"
}

***

Entry 17:
{
  "formula": "NiHgTe2",
  "functional": "PBE",
  "state": "optimized geometry",
  "lattice_angstrom": [[3.721, 0.000, 0.000], [0.000, 4.707, 0.000], [0.000, 0.000, 11.904]],
  "species": ["Ni", "Ni", "Hg", "Hg", "Te", "Te", "Te", "Te"],
  "frac_coords": [[0.000, 0.000, 0.000], [0.500, 0.500, 0.500], [0.000, 0.000, 0.500], [0.500, 0.500, 0.000], [0.000, 0.500, 0.350], [0.000, 0.500, 0.650], [0.500, 0.000, 0.150], [0.500, 0.000, 0.850]],
  "e_form_raw_ev_per_atom": 0.03,
  "magmom_total_mub_per_atom": 0.0000,
  "total_energy_ev_per_fu": -12.3,
  "mass_density_g_cm3": 8.2,
  "sg": "Immm"
}

***

Entry 18:
{
  "formula": "LiTb2PtO5",
  "functional": "PBE",
  "state": "optimized geometry",
  "lattice_angstrom": [[6.555, 0.000, 0.000], [0.000, 6.555, 0.000], [0.000, 0.000, 5.801]],
  "species": ["Li", "Li", "Tb", "Tb", "Tb", "Tb", "Pt", "Pt", "O", "O", "O", "O", "O", "O", "O", "O", "O", "O"],
  "frac_coords": [[0.000, 0.000, 0.000], [0.500, 0.500, 0.000], [0.176, 0.324, 0.500], [0.324, 0.824, 0.500], [0.676, 0.176, 0.500], [0.824, 0.676, 0.500], [0.000, 0.500, 0.000], [0.500, 0.000, 0.000], [0.000, 0.000, 0.500], [0.138, 0.638, 0.259], [0.138, 0.638, 0.741], [0.362, 0.138, 0.259], [0.362, 0.138, 0.741], [0.500, 0.500, 0.500], [0.638, 0.862, 0.259], [0.638, 0.862, 0.741], [0.862, 0.362, 0.259], [0.862, 0.362, 0.741]],
  "e_form_raw_ev_per_atom": -2.24,
  "magmom_total_mub_per_atom": 0.1106,
  "total_energy_ev_per_fu": -62.2,
  "mass_density_g_cm3": 8.0,
  "sg": "P4/mbm"
}

***

Entry 19:
{
  "formula": "Hg3TeI2",
  "functional": "PBE",
  "state": "optimized geometry",
  "lattice_angstrom": [[6.851, -4.036, 0.000], [6.851, 4.036, 0.000], [-3.285, 0.000, 9.043]],
  "species": ["Hg", "Hg", "Hg", "Hg", "Hg", "Hg", "Te", "Te", "I", "I", "I", "I"],
  "frac_coords": [[0.153, 0.847, 0.750], [0.332, 0.367, 0.904], [0.367, 0.332, 0.404], [0.633, 0.668, 0.596], [0.668, 0.633, 0.096], [0.847, 0.153, 0.250], [0.493, 0.507, 0.750], [0.507, 0.493, 0.250], [0.103, 0.186, 0.973], [0.186, 0.103, 0.473], [0.814, 0.897, 0.527], [0.897, 0.814, 0.027]],
  "e_form_raw_ev_per_atom": -0.12,
  "magmom_total_mub_per_atom": 0.0000,
  "total_energy_ev_per_fu": -7.8,
  "mass_density_g_cm3": 6.5,
  "sg": "C2/c"
}

***

Entry 20:
{
  "formula": "SmH3Ir",
  "functional": "PBE",
  "state": "optimized geometry",
  "lattice_angstrom": [[3.728, 0.000, 0.000], [0.000, 3.728, 0.000], [0.000, 0.000, 3.728]],
  "species": ["Sm", "H", "H", "H", "Ir"],
  "frac_coords": [[0.000, 0.000, 0.000], [0.000, 0.500, 0.500], [0.500, 0.000, 0.500], [0.500, 0.500, 0.000], [0.500, 0.500, 0.500]],
  "magmom_total_mub_per_atom": 0.0000,
  "total_energy_ev_per_fu": -26.1,
  "mass_density_g_cm3": 11.1,
  "sg": "Pm-3m"
}

***

Entry 21:
{
  "formula": "La4Nd5In",
  "functional": "PBE",
  "state": "optimized geometry",
  "lattice_angstrom": [[-5.451, 5.451, 3.063], [5.451, -5.451, 3.063], [5.451, 5.451, -3.063]],
  "species": ["La", "La", "La", "La", "Nd", "Nd", "Nd", "Nd", "Nd", "In"],
  "frac_coords": [[0.000, 0.307, 0.307], [0.000, 0.693, 0.693], [0.307, 0.000, 0.307], [0.693, 0.000, 0.693], [0.317, 0.317, 0.628], [0.317, 0.690, 0.000], [0.690, 0.317, 0.000], [0.690, 0.690, 0.372], [0.788, 0.788, 0.000], [0.270, 0.270, 0.000]],
  "magmom_total_mub_per_atom": 0.0000,
  "total_energy_ev_per_fu": -45.8,
  "mass_density_g_cm3": 6.3,
  "sg": "I4mm"
}

***

Entry 22:
{
  "formula": "TbHoMg3",
  "functional": "PBE",
  "state": "optimized geometry",
  "lattice_angstrom": [[3.097, 1.788, 8.234], [-3.097, 1.788, 8.234], [0.000, -3.576, 8.234]],
  "species": ["Tb", "Tb", "Ho", "Ho", "Mg", "Mg", "Mg", "Mg", "Mg", "Mg"],
  "frac_coords": [[0.067, 0.067, 0.067], [0.933, 0.933, 0.933], [0.335, 0.335, 0.335], [0.665, 0.665, 0.665], [0.111, 0.621, 0.621], [0.379, 0.379, 0.889], [0.379, 0.889, 0.379], [0.621, 0.111, 0.621], [0.621, 0.621, 0.111], [0.889, 0.379, 0.379]],
  "magmom_total_mub_per_atom": 0.0384,
  "total_energy_ev_per_fu": -13.9,
  "mass_density_g_cm3": 4.8,
  "sg": "R-3m"
}

***

Entry 23:
{
  "formula": "ZnSb3Rh",
  "functional": "PBE",
  "state": "optimized geometry",
  "lattice_angstrom": [[5.078, 0.000, 0.000], [0.000, 5.078, 0.000], [0.000, 0.000, 5.078]],
  "species": ["Zn", "Sb", "Sb", "Sb", "Rh"],
  "frac_coords": [[0.000, 0.000, 0.000], [0.000, 0.000, 0.500], [0.000, 0.500, 0.000], [0.500, 0.000, 0.000], [0.500, 0.500, 0.500]],
  "e_form_raw_ev_per_atom": 0.91,
  "magmom_total_mub_per_atom": 0.0000,
  "total_energy_ev_per_fu": -16.5,
  "mass_density_g_cm3": 6.8,
  "sg": "Pm-3m"
}